# CaSm15Dy4

CaSm15Dy4 after structural relaxation (PBE, Alexandria via LeMat-Bulk).

Summary:
ΔE_f (meV/atom): 29
Energy (eV/atom): -4.53
Size of the total moment (μB/f.u.): 0.00
N(E_F) (states/eV/cell): 28.5

a = 5.1239 Å, b = 5.1239 Å, c = 25.5616 Å
α = 90.00°, β = 90.00°, γ = 90.00°
With the nearest neighbours (Å) after each atom.
Fractional coordinates of all 20 atoms:
Ca 0.0000 0.0000 0.0000  12 Sm 3.62-3.69
Sm 0.0000 0.5000 0.1040  8 Sm 3.57-3.69, 2 Dy 3.57, 2 Ca 3.69
Sm 0.0000 0.5000 0.3016  8 Sm 3.60-3.63, 4 Dy 3.60-3.62
Sm 0.0000 0.5000 0.5000  4 Dy 3.61, 8 Sm 3.61-3.62
Sm 0.0000 0.5000 0.6984  8 Sm 3.60-3.63, 4 Dy 3.60-3.62
Sm 0.0000 0.5000 0.8960  8 Sm 3.57-3.69, 2 Dy 3.57, 2 Ca 3.69
Sm 0.5000 0.0000 0.1040  8 Sm 3.57-3.69, 2 Dy 3.57, 2 Ca 3.69
Sm 0.5000 0.0000 0.3016  8 Sm 3.60-3.63, 4 Dy 3.60-3.62
Sm 0.5000 0.0000 0.5000  4 Dy 3.61, 8 Sm 3.61-3.62
Sm 0.5000 0.0000 0.6984  8 Sm 3.60-3.63, 4 Dy 3.60-3.62
Sm 0.5000 0.0000 0.8960  8 Sm 3.57-3.69, 2 Dy 3.57, 2 Ca 3.69
Sm 0.5000 0.5000 0.0000  4 Ca 3.62, 8 Sm 3.69
Sm 0.5000 0.5000 0.2012  8 Sm 3.57-3.63, 4 Dy 3.62
Sm 0.5000 0.5000 0.4004  8 Sm 3.60-3.61, 4 Dy 3.62
Sm 0.5000 0.5000 0.5996  8 Sm 3.60-3.61, 4 Dy 3.62
Sm 0.5000 0.5000 0.7988  8 Sm 3.57-3.63, 4 Dy 3.62
Dy 0.0000 0.0000 0.2013  12 Sm 3.57-3.62
Dy 0.0000 0.0000 0.4008  12 Sm 3.60-3.62
Dy 0.0000 0.0000 0.5992  12 Sm 3.60-3.62
Dy 0.0000 0.0000 0.7987  12 Sm 3.57-3.62

# CaSm12Dy2

CaSm12Dy2 after structural relaxation (PBE, Alexandria via LeMat-Bulk).

Summary:
ΔE_f (meV/atom): 157
Energy (eV/atom): -4.37
Size of the total moment (μB/f.u.): 0.00
N(E_F) (states/eV/cell): 43.7

a = 6.7797 Å, b = 6.7797 Å, c = 25.2793 Å
α = 90.00°, β = 90.00°, γ = 116.50°
With the nearest neighbours (Å) after each atom.
Fractional coordinates of all 30 atoms:
Ca 0.2500 0.7500 0.0002  2 Ca 3.57, 8 Sm 3.57-3.94
Ca 0.7500 0.2500 0.9998  2 Ca 3.57, 8 Sm 3.57-3.94
Sm 0.0010 0.5010 0.1388  8 Sm 3.32-3.67
Sm 0.0005 0.9995 0.9164  8 Sm 3.53-3.67, 2 Ca 3.57-3.58
Sm 0.0178 0.5178 0.5838  7 Sm 3.30-3.64
Sm 0.0230 0.9770 0.4409  5 Sm 3.03-3.36
Sm 0.2500 0.2500 0.2040  3 Sm 3.15-3.32
Sm 0.2500 0.2500 0.3286  3 Sm 3.15-3.36
Sm 0.2500 0.2500 0.6714  3 Sm 3.15-3.36
Sm 0.2500 0.2500 0.7960  3 Sm 3.15-3.32
Sm 0.4770 0.5230 0.4409  5 Sm 3.03-3.36
Sm 0.4822 0.9822 0.5838  7 Sm 3.30-3.64
Sm 0.4995 0.5005 0.9164  8 Sm 3.53-3.67, 2 Ca 3.57-3.58
Sm 0.4990 0.9990 0.1388  8 Sm 3.32-3.67
Sm 0.5010 0.0010 0.8612  8 Sm 3.32-3.67
Sm 0.5005 0.4995 0.0836  8 Sm 3.53-3.67, 2 Ca 3.57-3.58
Sm 0.5178 0.0178 0.4162  7 Sm 3.30-3.64
Sm 0.5230 0.4770 0.5591  5 Sm 3.03-3.36
Sm 0.7500 0.7500 0.2040  3 Sm 3.15-3.32
Sm 0.7500 0.7500 0.3286  3 Sm 3.15-3.36
Sm 0.7500 0.7500 0.6714  3 Sm 3.15-3.36
Sm 0.7500 0.7500 0.7960  3 Sm 3.15-3.32
Sm 0.9770 0.0230 0.5591  5 Sm 3.03-3.36
Sm 0.9822 0.4822 0.4162  7 Sm 3.30-3.64
Sm 0.9995 0.0005 0.0836  8 Sm 3.53-3.67, 2 Ca 3.57-3.58
Sm 0.9990 0.4990 0.8612  8 Sm 3.32-3.67
Dy 0.2500 0.7500 0.2741  2 Dy 3.57, 10 Sm 3.66-3.85
Dy 0.2500 0.7500 0.7296  2 Dy 3.57, 10 Sm 3.70-3.78
Dy 0.7500 0.2500 0.2704  2 Dy 3.57, 10 Sm 3.70-3.78
Dy 0.7500 0.2500 0.7259  2 Dy 3.57, 10 Sm 3.66-3.85